1.
NpAgPb2Se5, relaxed, DFT GGA-PBE; space-group type = Cmc2_1; energy relative to the elements, uncorrected = -0.602 eV per atom
1.0
2.092 -9.031 0.000
2.092 9.031 0.000
0.000 0.000 13.709
Np Ag Pb Se
2 2 4 10
direct
0.219 0.781 0.500 Np
0.781 0.219 0.000 Np
0.425 0.575 0.916 Ag
0.575 0.425 0.416 Ag
0.099 0.901 0.116 Pb
0.104 0.896 0.757 Pb
0.896 0.104 0.257 Pb
0.901 0.099 0.616 Pb
0.070 0.930 0.536 Se
0.266 0.734 0.137 Se
0.283 0.717 0.867 Se
0.370 0.630 0.469 Se
0.493 0.507 0.748 Se
0.507 0.493 0.248 Se
0.630 0.370 0.969 Se
0.717 0.283 0.367 Se
0.734 0.266 0.637 Se
0.930 0.070 0.036 Se

***

2.
Ho3IrPb, relaxed, DFT GGA-PBE; energy of formation from the pure elements = -267 kJ/mol of formula units; space-group type = P2_1/m
1.0
5.371 0.000 0.000
0.000 8.468 0.000
-2.465 0.000 6.349
Ho Ir Pb
6 2 2
direct
0.042 0.250 0.102 Ho
0.375 0.054 0.733 Ho
0.375 0.446 0.733 Ho
0.625 0.554 0.267 Ho
0.625 0.946 0.267 Ho
0.958 0.750 0.898 Ho
0.464 0.750 0.910 Ir
0.536 0.250 0.090 Ir
0.197 0.750 0.428 Pb
0.803 0.250 0.572 Pb

***

3.
Sm2CuB2Rh5, relaxed, DFT GGA-PBE; energy of formation from the pure elements = -557 kJ/mol of formula units; space-group type = P4/mbm
1.0
9.560 0.000 0.000
0.000 9.560 0.000
0.000 0.000 3.231
Sm Cu B Rh
4 2 4 10
direct
0.177 0.323 0.000 Sm
0.323 0.823 0.000 Sm
0.677 0.177 0.000 Sm
0.823 0.677 0.000 Sm
0.000 0.000 0.000 Cu
0.500 0.500 0.000 Cu
0.124 0.624 0.000 B
0.376 0.124 0.000 B
0.624 0.876 0.000 B
0.876 0.376 0.000 B
0.000 0.500 0.500 Rh
0.069 0.779 0.500 Rh
0.221 0.069 0.500 Rh
0.279 0.569 0.500 Rh
0.431 0.279 0.500 Rh
0.500 0.000 0.500 Rh
0.569 0.721 0.500 Rh
0.721 0.431 0.500 Rh
0.779 0.931 0.500 Rh
0.931 0.221 0.500 Rh

***

4.
CdCuNO2, relaxed, DFT GGA-PBE; space-group type = P4/mmm; energy relative to the elements, uncorrected = 1.335 eV per atom
1.0
4.121 0.000 0.000
0.000 4.121 0.000
0.000 0.000 4.177
Cd Cu N O
1 1 1 2
direct
0.000 0.000 0.000 Cd
0.500 0.500 0.500 Cu
0.000 0.000 0.500 N
0.000 0.500 0.000 O
0.500 0.000 0.000 O

***

5.
AcI3, relaxed, DFT GGA-PBE; space-group type = I4/mmm; energy relative to the elements, uncorrected = -1.165 eV per atom
1.0
4.984 0.000 0.000
0.000 4.984 0.000
0.000 0.000 18.345
Ac I
2 6
direct
0.000 0.000 0.000 Ac
0.500 0.500 0.500 Ac
0.000 0.000 0.166 I
0.000 0.000 0.500 I
0.000 0.000 0.834 I
0.500 0.500 0.000 I
0.500 0.500 0.334 I
0.500 0.500 0.666 I

***

6.
Na3PdCl7, relaxed, DFT GGA-PBE; space-group type = Cm; energy relative to the elements, uncorrected = -1.107 eV per atom
1.0
5.632 -4.394 0.000
5.632 4.394 0.000
-2.728 0.000 6.274
Na Pd Cl
3 1 7
direct
0.000 0.000 0.000 Na
0.212 0.645 0.506 Na
0.645 0.212 0.506 Na
0.434 0.434 0.012 Pd
0.115 0.499 0.790 Cl
0.296 0.296 0.201 Cl
0.368 0.757 0.240 Cl
0.499 0.115 0.790 Cl
0.568 0.568 0.825 Cl
0.757 0.368 0.240 Cl
0.968 0.968 0.596 Cl

***

7.
Ce2ErCu, relaxed, DFT GGA-PBE; E above lowest polymorph = 0.37 eV/f.u.; energy of formation from the pure elements = 58 kJ/mol of formula units; space-group type = R-3m
1.0
3.490 0.000 0.000
-1.745 3.023 0.000
0.000 0.000 30.103
Ce Er Cu
6 3 3
direct
0.000 0.000 0.238 Ce
0.000 0.000 0.762 Ce
0.333 0.667 0.429 Ce
0.333 0.667 0.905 Ce
0.667 0.333 0.095 Ce
0.667 0.333 0.571 Ce
0.000 0.000 0.000 Er
0.333 0.667 0.667 Er
0.667 0.333 0.333 Er
0.000 0.000 0.500 Cu
0.333 0.667 0.167 Cu
0.667 0.333 0.833 Cu

***

8.
NbAsPt2Se, relaxed, DFT GGA-PBE; space-group type = P4/mmm; energy relative to the elements, uncorrected = 0.591 eV per atom
1.0
4.640 0.000 0.000
0.000 4.640 0.000
0.000 0.000 4.931
Nb As Pt Se
1 1 2 1
direct
0.000 0.000 0.000 Nb
0.000 0.000 0.500 As
0.000 0.500 0.500 Pt
0.500 0.000 0.500 Pt
0.500 0.500 0.000 Se

***

9.
SrCa2Sn3Te6, relaxed, DFT GGA-PBE; space-group type = C2/m; energy relative to the elements, uncorrected = -0.939 eV per atom
1.0
10.009 -2.286 0.000
10.009 2.286 0.000
-2.174 0.000 8.943
Sr Ca Sn Te
1 2 3 6
direct
0.000 0.000 0.000 Sr
0.332 0.332 0.665 Ca
0.668 0.668 0.335 Ca
0.000 0.000 0.500 Sn
0.333 0.333 0.168 Sn
0.667 0.667 0.832 Sn
0.167 0.167 0.583 Te
0.171 0.171 0.088 Te
0.497 0.497 0.741 Te
0.503 0.503 0.259 Te
0.829 0.829 0.912 Te
0.833 0.833 0.417 Te

***

10.
MoPdSeN2, relaxed, DFT GGA-PBE; E above lowest polymorph = 0.00 eV/f.u.; space-group type = P4/mmm; energy relative to the elements, uncorrected = 0.520 eV per atom
1.0
3.857 0.000 0.000
0.000 3.857 0.000
0.000 0.000 5.421
Mo Pd Se N
1 1 1 2
direct
0.000 0.000 0.000 Mo
0.500 0.500 0.500 Pd
0.000 0.000 0.500 Se
0.000 0.500 0.000 N
0.500 0.000 0.000 N

***

11.
Sc4MnAl, relaxed, DFT GGA-PBE; energy of formation from the pure elements = 229 kJ/mol of formula units; space-group type = F-43m
1.0
0.000 4.032 4.032
4.032 0.000 4.032
4.032 4.032 0.000
Sc Mn Al
4 1 1
direct
0.125 0.125 0.125 Sc
0.125 0.125 0.624 Sc
0.125 0.624 0.125 Sc
0.624 0.125 0.125 Sc
0.500 0.500 0.500 Mn
0.750 0.750 0.750 Al

***

12.
ReIrBr2, relaxed, DFT GGA-PBE; E above lowest polymorph = 2.11 eV/f.u.; space-group type = Cmm2; energy relative to the elements, uncorrected = 0.778 eV per atom
1.0
2.897 0.000 0.000
0.000 5.449 0.000
0.000 0.000 10.331
Re Ir Br
2 2 4
direct
0.000 0.000 0.000 Re
0.500 0.500 0.000 Re
0.000 0.500 0.205 Ir
0.500 0.000 0.205 Ir
0.000 0.000 0.438 Br
0.000 0.500 0.791 Br
0.500 0.000 0.791 Br
0.500 0.500 0.438 Br

***

| no. | total moment (μB/cell) |
| --- | --- |
| 1 | 3.98 |
| 2 | 0.00 |
| 3 | 0.00 |
| 4 | 0.26 |
| 5 | 0.00 |
| 6 | 0.03 |
| 7 | 4.02 |
| 8 | 0.64 |
| 9 | 0.00 |
| 10 | 0.45 |
| 11 | 3.67 |
| 12 | 0.83 |